# 1
Tm2Al4Pt3Rh: optimized geometry, PBE-GGA.

Calculated values
- formation energy from the elements (eV per atom) = -1.09
- space group = P-4m2, No. 115
- total energy (eV/atom) = -6.027

Cell lengths 4.1555, 4.1555, 10.4860 Å; angles 90.00, 90.00, 90.00 degrees
Closest atoms and distances in Å follow each position.
Fractional coordinates of all 10 atoms:
1 Tm 0.5000 0.0000 0.2558  6 Pt 3.18-3.30, 8 Al 3.18-3.39, 2 Rh 3.30
2 Tm 0.0000 0.5000 0.7442  6 Pt 3.18-3.30, 8 Al 3.18-3.39, 2 Rh 3.30
3 Al 0.5000 0.5000 0.0000  4 Pt 2.54
4 Al 0.0000 0.0000 0.0000  4 Pt 2.54
5 Al 0.5000 0.0000 0.6272  3 Pt 2.45-2.47, 2 Rh 2.47
6 Al 0.0000 0.5000 0.3728  3 Pt 2.45-2.47, 2 Rh 2.47
7 Pt 0.0000 0.0000 0.5000  4 Al 2.47
8 Pt 0.5000 0.0000 0.8611  5 Al 2.45-2.54
9 Pt 0.0000 0.5000 0.1389  5 Al 2.45-2.54
10 Rh 0.5000 0.5000 0.5000  4 Al 2.47

# 2
TaTlI2N: optimized geometry, PBE-GGA.

Calculated values
- space group = P4/mmm, No. 123
- formation energy without anion corrections (eV per formula unit) = 8.58
- offset from the most stable computed form (eV per atom) = 1.827
- total energy (eV/atom) = -3.413

Cell lengths 6.1875, 6.1875, 3.8820 Å; angles 90.00, 90.00, 90.00 degrees
Closest atoms and distances in Å follow each position.
Fractional coordinates of all 5 atoms:
1 I 0.0000 0.5000 0.0000  2 Tl 3.09
2 I 0.5000 0.0000 0.0000  2 Tl 3.09
3 Tl 0.0000 0.0000 0.0000  2 N 1.94
4 N 0.0000 0.0000 0.5000  2 Tl 1.94
5 Ta 0.5000 0.5000 0.5000  8 I 3.65, 2 Ta 3.88

# 3
CsHoZnO3: optimized geometry, PBE-GGA.

Calculated values
- space group = P2_1/m, No. 11
- formation energy without anion corrections (eV per formula unit) = -13.36
- total energy (eV/atom) = -5.824

Cell lengths 3.5710, 8.1882, 8.5340 Å; angles 109.92, 90.00, 90.00 degrees
Closest atoms and distances in Å follow each position.
Fractional coordinates of all 12 atoms:
1 Cs 0.2500 0.2163 0.2305  5 O 3.05-3.40
2 Cs 0.7500 0.7837 0.7695  5 O 3.05-3.40
3 Ho 0.2500 0.6586 0.1390  5 O 2.20-2.33
4 Ho 0.7500 0.3414 0.8610  5 O 2.20-2.33
5 Zn 0.2500 0.0773 0.6182  4 O 1.93-2.05
6 Zn 0.7500 0.9227 0.3818  4 O 1.93-2.05
7 O 0.7500 0.8424 0.1417  1 Zn 1.93
8 O 0.2500 0.1576 0.8583  1 Zn 1.93
9 O 0.2500 0.8357 0.4428  3 Zn 2.03-2.05
10 O 0.7500 0.1643 0.5572  3 Zn 2.03-2.05
11 O 0.7500 0.4791 0.1313  3 Ho 2.20-2.30
12 O 0.2500 0.5209 0.8687  3 Ho 2.20-2.30

# 4
TiMn2SbH: optimized geometry, PBE-GGA.

Calculated values
- space group = P4/mmm, No. 123
- total energy (eV/atom) = -6.932

Cell lengths 3.9244, 3.9244, 4.0506 Å; angles 90.00, 90.00, 90.00 degrees
Closest atoms and distances in Å follow each position.
Fractional coordinates of all 5 atoms:
1 Sb 0.5000 0.5000 0.5000  4 Ti 2.77, 8 Mn 2.82
2 Mn 0.0000 0.5000 0.0000  2 H 1.96
3 Mn 0.5000 0.0000 0.0000  2 H 1.96
4 H 0.0000 0.0000 0.0000  4 Mn 1.96, 2 Ti 2.03
5 Ti 0.0000 0.0000 0.5000  2 H 2.03

# 5
Nd4Te2SeN: optimized geometry, PBE-GGA.

Calculated values
- space group = P2/m, No. 10
- formation energy without anion corrections (eV per formula unit) = -11.68
- total energy (eV/atom) = -6.106

Cell lengths 4.1116, 7.2571, 7.5755 Å; angles 108.15, 90.00, 90.00 degrees
Closest atoms and distances in Å follow each position.
Fractional coordinates of all 8 atoms:
1 Nd 0.5000 0.2066 0.1954  2 N 2.70, 1 Se 2.95
2 Nd 0.5000 0.7934 0.8046  2 N 2.70, 1 Se 2.95
3 Nd 0.0000 0.2279 0.7993  1 N 2.57
4 Nd 0.0000 0.7721 0.2007  1 N 2.57
5 Te 0.5000 0.0000 0.5000  6 Nd 3.12-3.13
6 Te 0.0000 0.5000 0.5000  6 Nd 3.32-3.44
7 Se 0.5000 0.5000 0.0000  6 Nd 2.93-2.95
8 N 0.0000 0.0000 0.0000  6 Nd 2.57-2.70

# 6
PuGa2Pt: optimized geometry, PBE-GGA.

Calculated values
- formation energy from the elements (eV per atom) = -0.08
- space group = R-3m, No. 166
- total energy (eV/atom) = -6.685

Cell lengths 2.9609, 2.9609, 10.2598 Å; angles 81.70, 81.70, 60.00 degrees
Closest atoms and distances in Å follow each position.
Fractional coordinates of all 4 atoms:
1 Ga 0.0982 0.0982 0.7055  3 Pt 2.69, 6 Ga 2.96, 1 Pu 2.98
2 Ga 0.9018 0.9018 0.2945  3 Pt 2.69, 6 Ga 2.96, 1 Pu 2.98
3 Pt 0.5000 0.5000 0.5000  6 Ga 2.69, 6 Pt 2.96
4 Pu 0.0000 0.0000 0.0000  6 Pu 2.96, 2 Ga 2.98

# 7
Ce3As4Pd2Rh2: optimized geometry, PBE-GGA.

Calculated values
- formation energy from the elements (eV per atom) = -1.00
- space group = P-3m1, No. 164
- total energy (eV/atom) = -6.589

Cell lengths 4.2613, 4.2613, 14.2578 Å; angles 90.00, 90.00, 120.00 degrees
Closest atoms and distances in Å follow each position.
Fractional coordinates of all 11 atoms:
1 Ce 0.0000 0.0000 0.7308  6 As 2.97-3.19, 3 Rh 2.98
2 Ce 0.0000 0.0000 0.0000  6 As 3.05, 6 Rh 3.27
3 Ce 0.0000 0.0000 0.2692  6 As 2.97-3.19, 3 Rh 2.98
4 As 0.6667 0.3333 0.1263  3 Rh 2.49
5 As 0.3333 0.6667 0.8737  3 Rh 2.49
6 As 0.6667 0.3333 0.6142  4 Pd 2.52-2.57
7 As 0.3333 0.6667 0.3858  4 Pd 2.52-2.57
8 Pd 0.6667 0.3333 0.4377  4 As 2.52-2.57
9 Pd 0.3333 0.6667 0.5623  4 As 2.52-2.57
10 Rh 0.6667 0.3333 0.8486  3 As 2.49
11 Rh 0.3333 0.6667 0.1514  3 As 2.49

# 8
La8NiOs3Br4: optimized geometry, PBE-GGA.

Calculated values
- space group = R-3m, No. 166
- formation energy without anion corrections (eV per formula unit) = -13.87
- total energy (eV/atom) = -6.216

Cell lengths 8.3574, 9.2721, 8.3575 Å; angles 116.77, 120.00, 90.00 degrees
Closest atoms and distances in Å follow each position.
Fractional coordinates of all 16 atoms:
1 La 0.2348 0.6943 0.9596  2 Os 2.84, 1 Ni 2.90
2 La 0.2348 0.6944 0.4696  2 Os 2.84, 1 Ni 2.90
3 La 0.2671 0.3016 0.5343  3 Os 2.88
4 La 0.7249 0.6943 0.9596  2 Os 2.84, 1 Ni 2.90
5 La 0.2751 0.3057 0.0404  2 Os 2.84, 1 Ni 2.90
6 La 0.7329 0.6984 0.4657  3 Os 2.88
7 La 0.7652 0.3056 0.5304  2 Os 2.84, 1 Ni 2.90
8 La 0.7652 0.3057 0.0404  2 Os 2.84, 1 Ni 2.90
9 Ni 0.0000 0.5000 0.0000  6 La 2.90
10 Os 0.5000 0.5000 0.0000  6 La 2.84-2.88
11 Os 0.5000 0.5000 0.5000  6 La 2.84-2.88
12 Os 0.0000 0.5000 0.5000  6 La 2.84-2.88
13 Br 0.5000 0.0000 0.0000  6 La 3.38
14 Br 0.5000 0.0000 0.5000  6 La 3.39-3.44
15 Br 0.0000 0.0000 0.0000  6 La 3.39-3.43
16 Br 0.0000 0.0000 0.5000  6 La 3.39-3.44